[1]
{"formula": "Mn4BeSb", "functional": "GGA-PBE", "state": "relaxed", "total_energy_ev_per_atom": -7.038, "crystal_system": "cubic", "raw_formation_energy_ev_per_atom": 0.383, "lattice": [[0.000, 3.359, 3.359], [3.359, 0.000, 3.359], [3.359, 3.359, 0.000]], "species": ["Mn", "Mn", "Mn", "Mn", "Be", "Sb"], "frac_coords": [[0.376, 0.376, 0.376], [0.376, 0.376, 0.872], [0.376, 0.872, 0.376], [0.872, 0.376, 0.376], [0.750, 0.750, 0.750], [0.000, 0.000, 0.000]]}

---

[2]
{"formula": "Fe2CoSnH", "functional": "GGA-PBE", "state": "relaxed", "total_energy_ev_per_atom": -6.241, "crystal_system": "tetragonal", "lattice": [[3.717, 0.000, 0.000], [0.000, 3.717, 0.000], [0.000, 0.000, 3.969]], "species": ["Fe", "Fe", "Co", "Sn", "H"], "frac_coords": [[0.000, 0.500, 0.000], [0.500, 0.000, 0.000], [0.000, 0.000, 0.500], [0.500, 0.500, 0.500], [0.000, 0.000, 0.000]]}

---

Q: Which total magnetization values were calculated for the entries above? A: 3.4, 4.5, in μB/f.u..